No. 1
Computed, not measured: a relaxed structure of AlPtAu2 at the GGA-PBE level of DFT.

Values from the calculation:
- Raw total energy: -17.4 eV/cell
- Calculated density: 15.086 g/cm3
- Calculated formation energy: -262.1 meV/atom

Geometry as POSCAR:
```
AlPtAu2
1.0
2.921 0.000 0.000
0.000 4.975 0.000
-0.083 0.000 4.666
Al Pt Au
1 1 2
direct
0.000 0.000 0.000 Al
0.500 0.000 0.500 Pt
0.243 0.500 0.752 Au
0.757 0.500 0.248 Au
```

No. 2
Computed, not measured: a relaxed structure of AlPt2Au at the GGA-PBE level of DFT.

Values from the calculation:
- Raw total energy: -42.0 eV/cell
- Calculated density: 16.088 g/cm3
- Calculated formation energy: -479.0 meV/atom

Geometry as POSCAR:
```
AlPt2Au
1.0
5.673 0.000 0.000
0.000 7.554 0.000
0.000 0.000 2.958
Al Pt Au
2 4 2
direct
0.000 0.000 0.000 Al
0.500 0.500 0.000 Al
0.250 0.250 0.500 Pt
0.250 0.750 0.500 Pt
0.750 0.250 0.500 Pt
0.750 0.750 0.500 Pt
0.000 0.500 0.000 Au
0.500 0.000 0.000 Au
```

No. 3
Computed, not measured: a relaxed structure of AlPtAu2 at the GGA-PBE level of DFT.

Values from the calculation:
- Raw total energy: -35.4 eV/cell
- Calculated density: 15.391 g/cm3
- Calculated formation energy: -334.7 meV/atom

Geometry as POSCAR:
```
AlPtAu2
1.0
10.248 0.000 0.000
0.000 2.927 0.000
-1.412 0.000 4.432
Al Pt Au
2 2 4
direct
0.000 0.000 0.000 Al
0.500 0.500 0.000 Al
0.000 0.500 0.500 Pt
0.500 0.000 0.500 Pt
0.221 0.500 0.230 Au
0.279 0.000 0.770 Au
0.721 0.000 0.230 Au
0.779 0.500 0.770 Au
```

No. 4
Computed, not measured: a relaxed structure of AlPtAu2 at the GGA-PBE level of DFT.

Values from the calculation:
- Raw total energy: -50.9 eV/cell
- Calculated density: 15.316 g/cm3
- Calculated formation energy: -157.5 meV/atom

Geometry as POSCAR:
```
AlPtAu2
1.0
2.981 0.000 0.000
-1.491 2.582 0.000
0.000 0.000 26.028
Al Pt Au
3 3 6
direct
0.000 0.000 0.000 Al
0.333 0.667 0.667 Al
0.667 0.333 0.333 Al
0.000 0.000 0.500 Pt
0.333 0.667 0.167 Pt
0.667 0.333 0.833 Pt
0.000 0.000 0.257 Au
0.000 0.000 0.743 Au
0.333 0.667 0.410 Au
0.333 0.667 0.923 Au
0.667 0.333 0.077 Au
0.667 0.333 0.590 Au
```

No. 5
Computed, not measured: a relaxed structure of AlPt2Au at the GGA-PBE level of DFT.

Values from the calculation:
- Raw total energy: -42.1 eV/cell
- Calculated density: 15.957 g/cm3
- Calculated formation energy: -482.1 meV/atom

Geometry as POSCAR:
```
AlPt2Au
1.0
9.528 0.000 0.000
0.000 2.875 0.000
-1.499 0.000 4.666
Al Pt Au
2 4 2
direct
0.000 0.000 0.000 Al
0.500 0.500 0.000 Al
0.222 0.500 0.231 Pt
0.278 0.000 0.769 Pt
0.722 0.000 0.231 Pt
0.778 0.500 0.769 Pt
0.000 0.500 0.500 Au
0.500 0.000 0.500 Au
```

No. 6
Computed, not measured: a relaxed structure of AlPtAu2 at the GGA-PBE level of DFT.

Values from the calculation:
- Raw total energy: -68.3 eV/cell
- Calculated density: 14.440 g/cm3
- Calculated formation energy: -181.2 meV/atom

Geometry as POSCAR:
```
AlPtAu2
1.0
7.283 0.000 0.000
0.000 7.283 0.000
0.000 0.000 5.342
Al Pt Au
4 4 8
direct
0.000 0.000 0.000 Al
0.000 0.500 0.250 Al
0.500 0.000 0.750 Al
0.500 0.500 0.500 Al
0.000 0.000 0.500 Pt
0.000 0.500 0.750 Pt
0.500 0.000 0.250 Pt
0.500 0.500 0.000 Pt
0.227 0.250 0.125 Au
0.250 0.727 0.375 Au
0.250 0.773 0.875 Au
0.273 0.250 0.625 Au
0.727 0.750 0.625 Au
0.750 0.227 0.875 Au
0.750 0.273 0.375 Au
0.773 0.750 0.125 Au
```